Below is Zr2TlCd4 after structural relaxation, with properties calculated at the PBE level.

Summary:
- DFT formation energy: 0.127 eV/atom
- SG: No. 139
- E_tot: -3.176 eV per atom

Cell: 6.296 6.296 6.296 Å, 122.45 122.45 85.81°
Positions (direct):
Zr  0.000  0.500  0.500
Zr  0.500  0.000  0.500
Tl  0.000  0.000  0.000
Cd  0.000  0.000  0.500
Cd  0.000  0.500  0.000
Cd  0.500  0.000  0.000
Cd  0.500  0.500  0.500


Below is ZrTlCd2 after structural relaxation, with properties calculated at the PBE level.

Summary:
- DFT formation energy: 0.090 eV/atom
- SG: No. 119
- Energy relative to the lowest polymorph listed for this composition: 185 meV per atom
- E_tot: -3.096 eV per atom

Cell: 5.634 5.634 5.634 Å, 133.78 133.78 67.43°
Positions (direct):
Zr  0.000  0.000  0.000
Tl  0.250  0.750  0.500
Cd  0.500  0.500  0.000
Cd  0.750  0.250  0.500


Below is Zr15Tl2Cd2 after structural relaxation, with properties calculated at the PBE level.

Summary:
- DFT formation energy: 0.343 eV/atom
- SG: No. 166
- E_tot: -6.751 eV per atom

Cell: 7.842 7.842 7.842 Å, 78.68 78.68 78.68°
Positions (direct):
Zr  0.000  0.000  0.500
Zr  0.000  0.305  0.695
Zr  0.000  0.500  0.000
Zr  0.000  0.695  0.305
Zr  0.164  0.625  0.625
Zr  0.305  0.000  0.695
Zr  0.305  0.695  0.000
Zr  0.375  0.375  0.836
Zr  0.375  0.836  0.375
Zr  0.500  0.000  0.000
Zr  0.625  0.164  0.625
Zr  0.625  0.625  0.164
Zr  0.695  0.000  0.305
Zr  0.695  0.305  0.000
Zr  0.836  0.375  0.375
Tl  0.301  0.301  0.301
Tl  0.699  0.699  0.699
Cd  0.092  0.092  0.092
Cd  0.908  0.908  0.908


Below is ZrTl2Cd after structural relaxation, with properties calculated at the PBE level.

Summary:
- DFT formation energy: -0.004 eV/atom
- SG: No. 123
- Energy relative to the lowest polymorph listed for this composition: 0 meV per atom
- E_tot: -3.553 eV per atom

Cell: 4.620 4.620 4.381 Å, 90.00 90.00 90.00°
Positions (direct):
Zr  0.000  0.000  0.000
Tl  0.000  0.500  0.500
Tl  0.500  0.000  0.500
Cd  0.500  0.500  0.000


Below is ZrTlCd2 after structural relaxation, with properties calculated at the PBE level.

Summary:
- DFT formation energy: 0.026 eV/atom
- SG: No. 12
- Energy relative to the lowest polymorph listed for this composition: 121 meV per atom
- E_tot: -3.160 eV per atom

Cell: 6.174 6.174 3.040 Å, 101.22 101.22 120.58°
Positions (direct):
Zr  0.000  0.000  0.000
Tl  0.500  0.500  0.000
Cd  0.000  0.500  0.500
Cd  0.500  0.000  0.500


Below is Zr4Tl2Cd3 after structural relaxation, with properties calculated at the PBE level.

Summary:
- DFT formation energy: -0.010 eV/atom
- SG: No. 164
- E_tot: -4.640 eV per atom

Cell: 4.906 4.906 9.770 Å, 90.00 90.00 120.00°
Positions (direct):
Zr  0.000  0.000  0.168
Zr  0.000  0.000  0.832
Zr  0.333  0.667  0.618
Zr  0.667  0.333  0.382
Tl  0.333  0.667  0.291
Tl  0.667  0.333  0.709
Cd  0.000  0.000  0.500
Cd  0.333  0.667  0.963
Cd  0.667  0.333  0.037


Below is ZrTlCd after structural relaxation, with properties calculated at the PBE level.

Summary:
- DFT formation energy: 0.051 eV/atom
- SG: No. 156
- E_tot: -3.892 eV per atom

Cell: 4.854 4.854 3.360 Å, 90.00 90.00 120.00°
Positions (direct):
Zr  0.000  0.000  0.000
Tl  0.333  0.667  0.599
Cd  0.667  0.333  0.420


Below is ZrTl2Cd after structural relaxation, with properties calculated at the PBE level.

Summary:
- DFT formation energy: 0.331 eV/atom
- SG: No. 216
- Energy relative to the lowest polymorph listed for this composition: 335 meV per atom
- E_tot: -3.218 eV per atom

Cell: 5.229 5.229 5.229 Å, 60.00 60.00 60.00°
Positions (direct):
Zr  0.000  0.000  0.000
Tl  0.500  0.500  0.500
Tl  0.750  0.750  0.750
Cd  0.250  0.250  0.250


Below is ZrTl2Cd after structural relaxation, with properties calculated at the PBE level.

Summary:
- DFT formation energy: 0.125 eV/atom
- SG: No. 65
- Energy relative to the lowest polymorph listed for this composition: 129 meV per atom
- E_tot: -3.424 eV per atom

Cell: 3.354 3.354 10.306 Å, 90.00 90.00 119.59°
Positions (direct):
Zr  0.000  0.000  0.000
Tl  0.500  0.500  0.249
Tl  0.500  0.500  0.751
Cd  0.000  0.000  0.500


Below is ZrTl2Cd after structural relaxation, with properties calculated at the PBE level.

Summary:
- DFT formation energy: 0.126 eV/atom
- SG: No. 139
- Energy relative to the lowest polymorph listed for this composition: 130 meV per atom
- E_tot: -3.423 eV per atom

Cell: 5.803 5.803 5.803 Å, 135.17 135.17 65.27°
Positions (direct):
Zr  0.000  0.000  0.000
Tl  0.250  0.750  0.500
Tl  0.750  0.250  0.500
Cd  0.500  0.500  0.000


Below is ZrTl2Cd after structural relaxation, with properties calculated at the PBE level.

Summary:
- DFT formation energy: 0.027 eV/atom
- SG: No. 10
- Energy relative to the lowest polymorph listed for this composition: 31 meV per atom
- E_tot: -3.522 eV per atom

Cell: 5.501 3.303 5.768 Å, 90.00 112.44 90.00°
Positions (direct):
Zr  0.000  0.000  0.000
Tl  0.500  0.000  0.500
Tl  0.500  0.500  0.000
Cd  0.000  0.500  0.500


Below is ZrTl2Cd after structural relaxation, with properties calculated at the PBE level.

Summary:
- DFT formation energy: 0.039 eV/atom
- SG: No. 8
- Energy relative to the lowest polymorph listed for this composition: 43 meV per atom
- E_tot: -3.510 eV per atom

Cell: 6.123 6.123 5.432 Å, 112.95 112.95 31.59°
Positions (direct):
Zr  0.000  0.000  0.000
Tl  0.255  0.255  0.931
Tl  0.494  0.494  0.513
Cd  0.735  0.735  0.413


Below is ZrTlCd2 after structural relaxation, with properties calculated at the PBE level.

Summary:
- DFT formation energy: 0.235 eV/atom
- SG: No. 122
- Energy relative to the lowest polymorph listed for this composition: 330 meV per atom
- E_tot: -2.951 eV per atom

Cell: 6.498 6.498 6.498 Å, 102.43 102.43 124.71°
Positions (direct):
Zr  0.000  0.000  0.000
Zr  0.750  0.250  0.500
Tl  0.250  0.750  0.500
Tl  0.500  0.500  0.000
Cd  0.130  0.625  0.005
Cd  0.375  0.380  0.505
Cd  0.620  0.125  0.995
Cd  0.875  0.870  0.495


Below is ZrTl2Cd after structural relaxation, with properties calculated at the PBE level.

Summary:
- DFT formation energy: 0.070 eV/atom
- SG: No. 12
- Energy relative to the lowest polymorph listed for this composition: 75 meV per atom
- E_tot: -3.479 eV per atom

Cell: 6.147 6.147 3.226 Å, 104.08 104.08 115.14°
Positions (direct):
Zr  0.000  0.000  0.000
Tl  0.000  0.500  0.500
Tl  0.500  0.000  0.500
Cd  0.500  0.500  0.000


Below is Zr6TlCd after structural relaxation, with properties calculated at the PBE level.

Summary:
- DFT formation energy: -0.112 eV/atom
- SG: No. 200
- Energy relative to the lowest polymorph listed for this composition: 0 meV per atom
- E_tot: -6.933 eV per atom

Cell: 5.645 5.645 5.645 Å, 90.00 90.00 90.00°
Positions (direct):
Zr  0.000  0.249  0.500
Zr  0.000  0.751  0.500
Zr  0.249  0.500  0.000
Zr  0.500  0.000  0.249
Zr  0.500  0.000  0.751
Zr  0.751  0.500  0.000
Tl  0.500  0.500  0.500
Cd  0.000  0.000  0.000


Below is ZrTlCd2 after structural relaxation, with properties calculated at the PBE level.

Summary:
- DFT formation energy: 0.035 eV/atom
- SG: No. 71
- Energy relative to the lowest polymorph listed for this composition: 130 meV per atom
- E_tot: -3.151 eV per atom

Cell: 6.373 6.373 6.373 Å, 149.89 132.51 57.26°
Positions (direct):
Zr  0.000  0.000  0.000
Tl  0.500  0.500  0.000
Cd  0.234  0.734  0.500
Cd  0.766  0.266  0.500


Below is ZrTlCd2 after structural relaxation, with properties calculated at the PBE level.

Summary:
- DFT formation energy: 0.035 eV/atom
- SG: No. 47
- Energy relative to the lowest polymorph listed for this composition: 130 meV per atom
- E_tot: -3.151 eV per atom

Cell: 3.226 4.596 6.342 Å, 90.00 90.00 90.00°
Positions (direct):
Zr  0.000  0.000  0.000
Tl  0.000  0.000  0.500
Cd  0.500  0.500  0.233
Cd  0.500  0.500  0.767


Below is ZrTl2Cd after structural relaxation, with properties calculated at the PBE level.

Summary:
- DFT formation energy: 0.143 eV/atom
- SG: No. 123
- Energy relative to the lowest polymorph listed for this composition: 147 meV per atom
- E_tot: -3.406 eV per atom

Cell: 3.603 3.603 7.437 Å, 90.00 90.00 90.00°
Positions (direct):
Zr  0.000  0.000  0.000
Tl  0.500  0.500  0.253
Tl  0.500  0.500  0.747
Cd  0.000  0.000  0.500


Below is ZrTlCd2 after structural relaxation, with properties calculated at the PBE level.

Summary:
- DFT formation energy: 0.265 eV/atom
- SG: No. 160
- Energy relative to the lowest polymorph listed for this composition: 360 meV per atom
- E_tot: -2.921 eV per atom

Cell: 5.922 5.922 5.922 Å, 46.94 46.94 46.94°
Positions (direct):
Zr  0.000  0.000  0.000
Tl  0.804  0.804  0.804
Cd  0.220  0.220  0.220
Cd  0.406  0.406  0.406


Below is Zr2TlCd2 after structural relaxation, with properties calculated at the PBE level.

Summary:
- DFT formation energy: -0.045 eV/atom
- SG: No. 65
- Energy relative to the lowest polymorph listed for this composition: 0 meV per atom
- E_tot: -4.303 eV per atom

Cell: 7.692 7.692 3.188 Å, 90.00 90.00 144.11°
Positions (direct):
Zr  0.108  0.892  0.000
Zr  0.892  0.108  0.000
Tl  0.500  0.500  0.500
Cd  0.299  0.701  0.500
Cd  0.701  0.299  0.500